# 1
Entry from Alexandria: a geometry-optimized Nd2ScAl2 structure (GGA-PBE). Values from VASP.

Quantum ESPRESSO input file:
```
&SYSTEM
  ibrav = 0, nat = 5, ntyp = 3
/
ATOMIC_SPECIES
Nd 144.24 Nd.upf
Sc 44.96 Sc.upf
Al 26.98 Al.upf
CELL_PARAMETERS angstrom
4.7860 0.0000 0.0000
2.3930 5.3128 -0.0960
2.3930 1.3302 5.1445
ATOMIC_POSITIONS angstrom
Nd 2.3930 2.0130 1.5298
Nd 7.1790 4.6301 3.5187
Sc 0.0000 0.0000 0.0000
Al 4.7860 2.4922 3.6155
Al 4.7860 4.1508 1.4330
```

- ΔE_f (eV per atom) = -0.28
- size of the total moment (μB per cell) = 0.00
- DOS at the Fermi energy (states/eV per cell) = 4.91
- final energy (eV/atom) = -4.95

# 2
Entry from Alexandria: a geometry-optimized NdTmScAl structure (GGA-PBE). Values from VASP.

Quantum ESPRESSO input file:
```
&SYSTEM
  ibrav = 0, nat = 4, ntyp = 4
/
ATOMIC_SPECIES
Sc 44.96 Sc.upf
Tm 168.93 Tm.upf
Nd 144.24 Nd.upf
Al 26.98 Al.upf
CELL_PARAMETERS angstrom
-3.9426 0.1802 -3.4921
-4.0025 -3.4084 0.3667
-4.7660 1.6831 1.4913
ATOMIC_POSITIONS angstrom
Sc -9.5334 -1.1588 -1.2256
Tm 0.0000 0.0000 0.0000
Nd -6.3556 -0.7726 -0.8171
Al -3.1778 -0.3863 -0.4085
```

- ΔE_f (eV per atom) = -0.10
- size of the total moment (μB per cell) = 0.76
- DOS at the Fermi energy (states/eV per cell) = 5.78
- final energy (eV/atom) = -4.92